(1)
Computed, not measured: crystalline YAl2Ni at its relaxed geometry at the PBE level of DFT.

Geometry as POSCAR:
```
YAl2Ni
1.0
-2.4713 -1.9195 2.5904
5.3065 -0.7593 1.3088
-0.1803 5.6123 3.9867
Al Y Ni
4 2 2
direct
0.6591 0.3178 0.0550
0.3409 0.6822 0.9450
0.6591 0.3178 0.4450
0.3409 0.6822 0.5550
0.9398 0.8791 0.2500
0.0602 0.1209 0.7500
0.7843 0.5686 0.7500
0.2157 0.4314 0.2500
```

Summary:
V in Å³ per cell: 143
Total moment in μB per formula unit: 0.0
Crystal system: orthorhombic
Energy of formation from the pure elements in meV per atom: -652.1



(2)
Computed, not measured: crystalline ErThNi2 at its relaxed geometry at the PBE level of DFT.

Geometry as POSCAR:
```
ErThNi2
1.0
3.6610 0.0000 -0.0190
0.0000 4.3548 0.0000
-1.7902 0.0000 5.1658
Er Ni Th
1 2 1
direct
0.7196 0.0000 0.9793
0.0023 0.0000 0.5446
0.1620 0.5000 0.8622
0.4470 0.5000 0.4320
```

Summary:
V in Å³ per cell: 82
Total moment in μB per formula unit: 0.0
Crystal system: monoclinic
Offset from the most stable computed form in eV/atom: 0.0000
Energy of formation from the pure elements in meV per atom: -469.5



(3)
Computed, not measured: crystalline Ca2In3Au4 at its relaxed geometry at the PBE level of DFT.

Geometry as POSCAR:
```
Ca2In3Au4
1.0
-5.6990 -2.2739 -0.6812
2.0908 -6.4819 4.1446
0.4603 4.9687 7.5385
Ca In Au
4 6 8
direct
0.3998 0.0964 0.7996
0.6002 0.9036 0.2004
0.1002 0.5964 0.2004
0.8998 0.4036 0.7996
0.9827 0.2500 0.4653
0.0173 0.7500 0.5347
0.4827 0.2500 0.4653
0.0000 0.0000 0.0000
0.5173 0.7500 0.5347
0.5000 0.5000 0.0000
0.3142 0.2500 0.1285
0.8317 0.0336 0.6633
0.8142 0.2500 0.1285
0.1683 0.9664 0.3367
0.1858 0.7500 0.8715
0.6858 0.7500 0.8715
0.3317 0.4664 0.6633
0.6683 0.5336 0.3367
```

Summary:
V in Å³ per cell: 418
Total moment in μB per formula unit: 0.0
Crystal system: orthorhombic
Energy of formation from the pure elements in meV per atom: -524.3



(4)
Computed, not measured: crystalline DyTm6 at its relaxed geometry at the PBE level of DFT.

Geometry as POSCAR:
```
DyTm6
1.0
-0.5053 -4.1278 -4.8784
-4.6156 -3.1487 3.1424
-7.4437 6.3332 -4.5877
Tm Dy
12 2
direct
0.6687 0.8313 0.6374
0.3313 0.8313 0.3626
0.5000 0.5000 0.8584
0.0000 0.0000 0.1416
0.8313 0.3313 0.6374
0.6687 0.1687 0.3626
0.3313 0.1687 0.6374
0.1687 0.3313 0.3626
0.1687 0.6687 0.6374
0.8313 0.6687 0.3626
0.5000 0.5000 0.1416
0.0000 0.0000 0.8584
0.5000 0.0000 0.0000
0.0000 0.5000 0.0000
```

Summary:
V in Å³ per cell: 444
Total moment in μB per formula unit: 0.0
Crystal system: tetragonal
Offset from the most stable computed form in eV/atom: 0.0000
Energy of formation from the pure elements in meV per atom: 272.8



- Which value of total moment does entry 3 give?
  0.0 μB per formula unit



- Number 2 is which compound?
  ErThNi2